# FeSbPd6

FeSbPd6 after structural relaxation (PBE, Alexandria).

Values from the calculation:
Energy above the lowest structure with this stoichiometry: 0.0 kJ per mole of atoms
Total magnetic moment: 4.49 μB per cell
ΔE_f (raw): -237.0 meV/atom
E: -45.6 eV per cell

Lattice parameters (Å, degrees): 3.980 3.980 7.925 90.00 90.00 90.00
Positions (direct):
Fe 0.000 0.000 0.000
Sb 0.000 0.000 0.500
Pd 0.000 0.500 0.239
Pd 0.000 0.500 0.761
Pd 0.500 0.000 0.239
Pd 0.500 0.000 0.761
Pd 0.500 0.500 0.000
Pd 0.500 0.500 0.500